First-principles (PBE) data for a relaxed structure of SbRuPt2Cl, as listed in Alexandria via LeMat-Bulk.

Results
Volume   125 Å³ per cell
Space group   P4/mmm (123)
Formation energy without anion corrections   1.1483 eV/atom
Density   8.63 g/cm³
Final energy   -4.3170 eV per atom

a b c (Å): 4.9672 4.9672 5.0590
angles (deg): 90.00 90.00 90.00
Positions (direct):
Sb: 0.0000 0.0000 0.0000
Ru: 0.0000 0.0000 0.5000
Pt: 0.0000 0.5000 0.0000
Pt: 0.5000 0.0000 0.0000
Cl: 0.5000 0.5000 0.5000


First-principles (PBE) data for a relaxed structure of Nd3ZrTl3Te8, as listed in Alexandria via LeMat-Bulk.

Results
Volume   571 Å³ per cell
Space group   R-3m (166)
Formation energy without anion corrections   -1.0148 eV/atom
Density   6.28 g/cm³
Final energy   -4.6871 eV per atom

a b c (Å): 9.7498 9.7498 9.7498
angles (deg): 54.46 54.46 54.46
Positions (direct):
Nd: 0.0000 0.5000 0.5000
Nd: 0.5000 0.0000 0.5000
Nd: 0.5000 0.5000 0.0000
Zr: 0.0000 0.0000 0.0000
Tl: 0.0000 0.0000 0.5000
Tl: 0.0000 0.5000 0.0000
Tl: 0.5000 0.0000 0.0000
Te: 0.2261 0.2261 0.7585
Te: 0.2261 0.7585 0.2261
Te: 0.2415 0.7739 0.7739
Te: 0.2591 0.2591 0.2591
Te: 0.7409 0.7409 0.7409
Te: 0.7585 0.2261 0.2261
Te: 0.7739 0.2415 0.7739
Te: 0.7739 0.7739 0.2415


First-principles (PBE) data for a relaxed structure of RuRhW2, as listed in Alexandria via LeMat-Bulk.

Results
Volume   62 Å³ per cell
Space group   P4mm (99)
Formation energy   0.1133 eV per atom
Density   15.43 g/cm³
Energy above the most stable polymorph in this dataset   193 meV/atom
Final energy   -10.5201 eV per atom

a b c (Å): 3.2437 3.2437 5.8479
angles (deg): 90.00 90.00 90.00
Positions (direct):
Ru: 0.0000 0.0000 0.0000
Rh: 0.5000 0.5000 0.7137
W: 0.0000 0.0000 0.5005
W: 0.5000 0.5000 0.2175